A relaxed structure of SbP2PtO. Source: Alexandria, functional PBE.

Unit cell a=4.892 b=4.892 c=3.814 alpha=90.00 beta=90.00 gamma=90.00
Last column: magnetic moment on the atom in μB.
Positions (direct):
P1 0.500 0.000 0.000  0.01
Pt1 0.000 0.000 0.000  0.25
Sb1 0.500 0.500 0.500  0.00
O1 0.000 0.000 0.500  0.34
P2 0.000 0.500 0.000  0.01

Output
For the energy relative to the elements, uncorrected, the calculation gives 1.4 eV/f.u. The value obtained for the mass density is 7.18 g/cm³. The value obtained for the offset from the most stable computed form is 0.000 eV/atom. The total moment is 0.14 μB per atom.

=====

A relaxed structure of SbPPtO2. Source: Alexandria, functional PBE.

Unit cell a=4.006 b=4.006 c=4.856 alpha=90.00 beta=90.00 gamma=90.00
Positions (direct):
O1 0.500 0.000 0.000
P1 0.000 0.000 0.500
Sb1 0.500 0.500 0.500
Pt1 0.000 0.000 0.000
O2 0.000 0.500 0.000

Output
For the energy relative to the elements, uncorrected, the calculation gives 0.4 eV/f.u. The value obtained for the mass density is 8.09 g/cm³. The value obtained for the offset from the most stable computed form is 0.166 eV/atom. The total moment is 0.03 μB per atom.

=====

A relaxed structure of SbP2PtO. Source: Alexandria, functional PBE.

Unit cell a=5.005 b=5.005 c=3.787 alpha=90.00 beta=90.00 gamma=90.00
Positions (direct):
Pt1 0.500 0.500 0.500
O1 0.000 0.000 0.500
P1 0.000 0.500 0.000
P2 0.500 0.000 0.000
Sb1 0.000 0.000 0.000

Output
For the energy relative to the elements, uncorrected, the calculation gives 3.3 eV/f.u. The value obtained for the mass density is 6.91 g/cm³. The value obtained for the offset from the most stable computed form is 0.374 eV/atom. The total moment is 0.00 μB per atom.